Record 1
DFT (PBE-GGA) results for a geometry-optimized YV2P2 structure.

Geometry as POSCAR:
```
YV2P2
1.0
-0.907 0.271 4.454
-1.648 -4.244 -0.078
2.353 -3.412 3.014
P Y V
2 1 2
direct
0.250 0.750 0.500 P
0.750 0.250 0.500 P
0.000 0.000 0.000 Y
0.374 0.374 0.252 V
0.626 0.626 0.748 V
```

Computed properties:
Crystal system: tetragonal
VASP energy in eV per atom: -7.73
Excess energy over the best structure of this formula in the dataset in eV per atom: 0.339
DOS at the Fermi energy in states/eV/cell: 3.06
Space-group type: I4/mmm (139)

***

Record 2
DFT (PBE-GGA) results for a geometry-optimized YVP2 structure.

Geometry as POSCAR:
```
YVP2
1.0
-0.039 -5.606 -1.131
4.544 0.656 -3.410
5.913 -3.446 2.420
Y P V
2 4 2
direct
0.750 0.250 0.500 Y
0.000 0.000 0.000 Y
0.565 0.125 0.250 P
0.185 0.625 0.250 P
0.875 0.815 0.750 P
0.375 0.435 0.750 P
0.250 0.750 0.500 V
0.500 0.500 0.000 V
```

Computed properties:
Crystal system: tetragonal
VASP energy in eV per atom: -7.13
Excess energy over the best structure of this formula in the dataset in eV per atom: 0.022
DOS at the Fermi energy in states/eV/cell: 4.48
Space-group type: I-42d (122)

***

Record 3
DFT (PBE-GGA) results for a geometry-optimized V3ZnP structure.

Geometry as POSCAR:
```
V3ZnP
1.0
-0.700 1.259 -4.116
-4.001 -1.727 0.152
-1.586 3.801 1.433
V Zn P
3 1 1
direct
0.000 0.000 0.500 V
0.500 0.000 0.000 V
0.000 0.500 0.000 V
0.500 0.500 0.500 Zn
0.000 0.000 0.000 P
```

Computed properties:
Crystal system: cubic
VASP energy in eV per atom: -6.55
Excess energy over the best structure of this formula in the dataset in eV per atom: 0.000
DOS at the Fermi energy in states/eV/cell: 5.24
Space-group type: Pm-3m (221)

***

Copy entry 3 word for word.
DFT (PBE-GGA) results for a geometry-optimized V3ZnP structure.

Geometry as POSCAR:
```
V3ZnP
1.0
-0.700 1.259 -4.116
-4.001 -1.727 0.152
-1.586 3.801 1.433
V Zn P
3 1 1
direct
0.000 0.000 0.500 V
0.500 0.000 0.000 V
0.000 0.500 0.000 V
0.500 0.500 0.500 Zn
0.000 0.000 0.000 P
```

Computed properties:
Crystal system: cubic
VASP energy in eV per atom: -6.55
Excess energy over the best structure of this formula in the dataset in eV per atom: 0.000
DOS at the Fermi energy in states/eV/cell: 5.24
Space-group type: Pm-3m (221)

***

Question: What is the formula in the first record?
Answer: YV2P2

***

Question: What is the VASP energy in the first record?
Answer: -7.73 eV per atom